This record from Alexandria describes a PBEsol-optimized structure of Li17Sn4. The functional is SCAN.

Structure (extended XYZ):
```
105
Lattice="-2.439 -3.047 -13.199 -2.107 -13.069 -3.771 -12.544 -4.097 -3.913" Properties=species:S:1:pos:R:3 pbc="T T T"
Li -5.939 -14.023 -14.696
Li -5.352 -13.130 -10.334
Li -11.152 -6.190 -6.187
Li -6.362 -7.469 -4.277
Li -13.600 -8.769 -12.252
Li -11.865 -14.033 -14.498
Li -6.734 -4.769 -4.832
Li -12.772 -7.735 -7.773
Li -7.858 -12.649 -9.982
Li -3.631 -11.271 -9.152
Li -14.760 -10.483 -14.332
Li -14.233 -16.833 -17.392
Li -8.621 -17.230 -18.011
Li -11.168 -9.803 -10.027
Li -9.866 -15.283 -9.003
Li -2.904 -7.109 -7.455
Li -4.286 -12.090 -12.700
Li -7.737 -5.123 -11.741
Li -9.115 -13.667 -14.206
Li -6.309 -15.912 -16.691
Li -10.078 -15.476 -16.096
Li -6.475 -4.039 -7.503
Li -11.831 -13.949 -11.710
Li -12.525 -14.707 -8.644
Li -5.609 -13.893 -7.675
Li -7.963 -9.470 -12.972
Li -11.916 -10.374 -7.628
Li -9.021 -10.627 -8.371
Li -6.552 -11.450 -15.425
Li -8.349 -13.441 -7.580
Li -9.072 -14.345 -11.494
Li -3.628 -7.438 -4.789
Li -9.654 -11.418 -11.796
Li -11.654 -16.747 -10.810
Li -14.260 -16.738 -9.385
Li -7.190 -8.504 -8.786
Li -5.641 -2.997 -2.987
Li -5.836 -7.015 -14.146
Li -12.741 -8.175 -14.790
Li -4.349 -12.037 -6.094
Li -3.001 -3.549 -3.667
Li -12.335 -16.947 -15.339
Li -15.457 -11.354 -18.105
Li -9.185 -10.919 -14.717
Li -13.425 -15.824 -13.020
Li -7.727 -6.002 -9.087
Li -7.924 -16.359 -14.238
Li -8.420 -6.314 -6.415
Li -10.453 -5.406 -9.245
Li -14.662 -14.946 -15.371
Li -11.109 -6.224 -12.793
Li -16.179 -19.135 -19.770
Li -12.409 -14.712 -17.442
Li -13.535 -12.504 -16.143
Li -5.465 -9.704 -13.557
Li -13.487 -12.170 -9.052
Li -8.019 -13.495 -16.933
Li -4.878 -9.358 -6.366
Li -11.871 -10.183 -16.986
Li -11.920 -11.255 -14.244
Li -14.638 -14.182 -10.851
Li -10.892 -12.776 -6.629
Li -16.140 -19.043 -16.801
Li -4.631 -8.663 -9.045
Li -7.521 -11.675 -5.577
Li -4.565 -5.505 -12.239
Li -3.727 -4.456 -7.595
Li -8.560 -7.043 -13.599
Li -6.398 -10.355 -10.781
Li -16.235 -16.178 -19.497
Li -15.240 -17.918 -11.929
Li -2.070 -6.067 -2.938
Li -6.437 -14.927 -12.154
Li -12.640 -11.278 -11.543
Li -14.521 -8.852 -16.804
Li -4.273 -5.053 -5.221
Li -10.326 -9.263 -5.616
Li -4.990 -5.957 -9.566
Li -3.720 -8.577 -11.686
Li -2.183 -2.638 -6.164
Li -9.107 -8.026 -10.818
Li -13.252 -18.743 -19.456
Li -10.093 -8.405 -15.474
Li -7.629 -8.974 -6.291
Li -12.015 -7.402 -10.425
Sn -1.536 -1.816 -1.877
Sn -14.249 -13.009 -13.326
Sn -9.571 -4.440 -4.383
Sn -7.102 -15.447 -9.475
Sn -6.353 -7.572 -11.432
Sn -10.856 -9.043 -12.837
Sn -10.632 -12.633 -16.649
Sn -15.121 -14.099 -18.050
Sn -6.234 -11.170 -8.047
Sn -11.386 -17.310 -17.999
Sn -14.056 -9.469 -9.571
Sn -5.698 -6.739 -6.963
Sn -2.885 -10.188 -4.292
Sn -10.514 -16.220 -13.275
Sn -15.003 -17.686 -14.676
Sn -3.098 -3.768 -10.332
Sn -7.323 -8.770 -15.758
Sn -10.737 -12.641 -9.452
Sn -9.981 -7.949 -8.098
Sn -7.109 -12.264 -12.785
```

Computed properties:
Energy = -9.15 eV/atom
Volume = 17.56 A^3/atom
E_form = -378 meV/atom
DOS at the Fermi energy = 0.17 states/eV per atom